This record from the Alexandria database describes a relaxed TlCoPO2 crystal. The functional is GGA+U.

Cell: 4.0558 4.0558 5.7107 Å, 90.00 90.00 90.00°
Space group P4/mmm (No. 123)
Asymmetric unit:
1 Tl 0.0000 0.0000 0.0000 [1 per cell]
2 Co 0.5000 0.5000 0.5000 [1 per cell]
3 P 0.0000 0.0000 0.5000 [1 per cell]
4 O 0.0000 0.5000 0.0000 [2 per cell]

**Spin magnetization**: 3.40 μB/f.u.
**Total energy**: -18.83 eV per cell
**Excess energy over the best structure of this formula in the dataset**: 860 meV per atom
**Density**: 5768 kg/m³